(1)
This record from the Alexandria database describes a geometry-optimized SrTiNiAg2 structure. The functional is PBE.

```
SrTiNiAg2
1.0
5.0792 0.0000 0.0000
0.0000 5.0792 0.0000
0.0000 0.0000 4.3895
Sr Ti Ni Ag
1 1 1 2
Direct
0.0000 0.0000 0.0000
0.5000 0.5000 0.0000
0.5000 0.5000 0.5000
0.0000 0.5000 0.5000
0.5000 0.0000 0.5000
```

## Properties
As for the space group: No. 123.

(2)
This record from the Alexandria database describes a geometry-optimized Sr2TlNiAg structure. The functional is PBE.

```
Sr2TlNiAg
1.0
5.6782 0.0000 0.0000
0.0000 5.6782 0.0000
0.0000 0.0000 4.9572
Sr Tl Ni Ag
2 1 1 1
Direct
0.0000 0.5000 0.0000
0.5000 0.0000 0.0000
0.0000 0.0000 0.5000
0.0000 0.0000 0.0000
0.5000 0.5000 0.5000
```

## Properties
As for the space group: No. 123.

(3)
This record from the Alexandria database describes a geometry-optimized SrYNi2Ag structure. The functional is PBE.

```
SrYNi2Ag
1.0
4.9548 0.0000 0.0000
0.0000 4.9548 0.0000
0.0000 0.0000 5.1747
Sr Y Ni Ag
1 1 2 1
Direct
0.0000 0.0000 0.0000
0.5000 0.5000 0.0000
0.0000 0.5000 0.5000
0.5000 0.0000 0.5000
0.0000 0.0000 0.5000
```

## Properties
As for the space group: No. 123.

(4)
This record from the Alexandria database describes a geometry-optimized SrZn2NiAg structure. The functional is PBE.

```
SrZn2NiAg
1.0
4.6454 0.0000 0.0000
0.0000 4.6454 0.0000
0.0000 0.0000 5.0717
Sr Zn Ni Ag
1 2 1 1
Direct
0.0000 0.0000 0.0000
0.0000 0.5000 0.5000
0.5000 0.0000 0.5000
0.5000 0.5000 0.5000
0.5000 0.5000 0.0000
```

## Properties
As for the space group: No. 123.

(5)
This record from the Alexandria database describes a geometry-optimized Ta2NiAg structure. The functional is PBE.

```
Ta2NiAg
1.0
1.4229 0.8215 9.3972
-1.4229 0.8215 9.3972
0.0000 -1.6430 9.3972
Ta Ni Ag
2 1 1
Direct
0.2429 0.2429 0.2429
0.7571 0.7571 0.7571
0.5000 0.5000 0.5000
0.0000 0.0000 0.0000
```

## Properties
As for the space group: No. 166. As for the energy above the most stable polymorph in this dataset: 3.98 kcal/mol of atoms.

(6)
This record from the Alexandria database describes a geometry-optimized Ta2NiAg structure. The functional is PBE.

```
Ta2NiAg
1.0
4.6361 -1.4412 0.0000
4.6361 1.4412 0.0000
-1.1156 0.0000 4.9016
Ta Ni Ag
2 1 1
Direct
0.0000 0.0000 0.0000
0.2482 0.2482 0.7287
0.7346 0.7346 0.2138
0.4843 0.4843 0.4731
```

## Properties
As for the space group: No. 8. As for the energy above the most stable polymorph in this dataset: 3.15 kcal/mol of atoms.

Number 1: ΔE_f 163 meV/atom, N(E_F) 5.500 states/eV/cell. Number 2: ΔE_f -65 meV/atom, N(E_F) 3.811 states/eV/cell. Number 3: ΔE_f 744 meV/atom, N(E_F) 6.101 states/eV/cell. Number 4: ΔE_f -112 meV/atom, N(E_F) 2.156 states/eV/cell. Number 5: ΔE_f 234 meV/atom, N(E_F) 3.853 states/eV/cell. Number 6: ΔE_f 198 meV/atom, N(E_F) 2.692 states/eV/cell.